{
  "formula": "MgSiSn",
  "functional": "PBE-GGA",
  "state": "relaxed",
  "lattice": [[3.622, 0.000, 0.000], [0.000, 3.990, 0.000], [0.000, 1.995, 9.208]],
  "species": ["Si", "Si", "Sn", "Sn", "Mg", "Mg"],
  "frac_coords": [[0.750, 0.459, 0.082], [0.250, 0.541, 0.918], [0.750, 0.306, 0.388], [0.250, 0.694, 0.612], [0.750, 0.092, 0.816], [0.250, 0.908, 0.184]],
  "crystal_system": "orthorhombic",
  "dft_energy_ev_per_atom": -3.609,
  "n_ef_per_ev_atom": 0.397
}



{
  "formula": "Li2AsF8",
  "functional": "PBE-GGA",
  "state": "relaxed",
  "lattice": [[8.132, 0.000, 0.000], [-4.066, 3.918, -0.870], [0.000, -0.076, 4.865]],
  "species": ["Li", "Li", "As", "F", "F", "F", "F", "F", "F", "F", "F"],
  "frac_coords": [[0.701, 0.402, 0.486], [0.299, 0.598, 0.514], [0.000, 0.000, 0.000], [0.968, 0.238, 0.226], [0.270, 0.238, 0.226], [0.032, 0.762, 0.774], [0.468, 0.936, 0.290], [0.730, 0.762, 0.774], [0.843, 0.687, 0.205], [0.157, 0.313, 0.795], [0.532, 0.064, 0.710]],
  "crystal_system": "monoclinic",
  "dft_energy_ev_per_atom": -4.329
}



no.,formation energy from raw total energies (eV per atom)
1,0.064
2,-2.197